Entry 1:
## Cd2NiMo (PBE)

Data for a relaxed Cd2NiMo crystal.

The volume comes out at 67.6 Å³ per cell. The value obtained for the formation enthalpy at 0 K is 468.9 meV/atom. The calculation puts the magnetization at 1.129 μB per formula unit. The value obtained for the density of states at the Fermi level is 5.12 states/eV/f.u.

Cell lengths 4.219, 4.003, 4.003 Å; angles 90.00, 90.00, 90.00 degrees
Positions (direct):
1 Mo 0.500 0.500 0.000
2 Ni 0.500 0.000 0.500
3 Cd 0.000 0.500 0.500
4 Cd 0.000 0.000 0.000

=====

Entry 2:
## Tm6Pb3O (PBE)

Data for a relaxed Tm6Pb3O crystal.

The volume comes out at 541.3 Å³ per cell. The calculation puts the magnetization at 0.000 μB per formula unit. The value obtained for the density of states at the Fermi level is 8.99 states/eV/f.u. For the total energy, the calculation gives -5.093 eV per atom.

Cell lengths 6.253, 9.369, 9.369 Å; angles 99.56, 90.00, 90.00 degrees
Positions (direct):
1 Tm 0.157 0.333 0.225
2 Tm 0.528 0.907 0.093
3 Tm 0.657 0.667 0.775
4 Tm 0.709 0.874 0.446
5 Tm 0.657 0.225 0.333
6 Pb 0.879 0.527 0.473
7 Pb 0.379 0.473 0.527
8 Pb 0.532 0.985 0.758
9 Tm 0.209 0.446 0.874
10 Tm 0.157 0.775 0.667
11 Pb 0.032 0.758 0.985
12 O 0.554 0.751 0.249
13 Tm 0.227 0.704 0.296
14 Pb 0.032 0.015 0.242
15 Pb 0.532 0.242 0.015
16 Tm 0.727 0.296 0.704
17 O 0.054 0.249 0.751
18 Tm 0.209 0.126 0.554
19 Tm 0.709 0.554 0.126
20 Tm 0.028 0.093 0.907

=====

What is the magnetization in the second record? 0.000 μB per formula unit

=====

What is the volume in the first record? 67.6 Å³ per cell